Density functional theory data (GGA-PBE) for a relaxed Tl2BiSbTe4 crystal.

Cell: 4.536 7.860 8.375 Å, 71.76 90.00 90.00°
Positions (direct):
1 Tl 0.000 0.500 0.500
2 Tl 0.500 0.000 0.500
3 Bi 0.000 0.000 0.000
4 Sb 0.500 0.500 0.000
5 Te 0.500 0.755 0.221
6 Te 0.000 0.265 0.218
7 Te 0.500 0.245 0.779
8 Te 0.000 0.735 0.782

Properties
energy relative to the elements, uncorrected	-0.27	eV/atom
spin magnetization	0.0	μB/cell
space group	P2/m (10)
volume	35.44	A^3/atom